GdCuW2O8: optimized geometry, PBE with a Hubbard U.

a b c (Å): 5.1453 6.0839 6.2006
angles (deg): 108.57 91.98 113.38
Fractional positions:
Gd1 0.0000 0.0000 0.0000
Cu1 0.5000 0.0000 0.5000
W1 0.2496 0.4872 0.6641
W2 0.7504 0.5128 0.3359
O1 0.0204 0.2543 0.7807
O2 0.0261 0.6904 0.6679
O3 0.4671 0.2990 0.5267
O4 0.4904 0.2640 0.0796
O5 0.5096 0.7360 0.9204
O6 0.5329 0.7010 0.4733
O7 0.9739 0.3096 0.3321
O8 0.9796 0.7457 0.2193

Summary:
- Magnetization: 0.58 μB per atom
- Calculated total energy: -8.14 eV per atom